Material: DyGa3Tc
Method: DFT, PBE
State: optimized geometry

abc: 5.528 6.278 6.278
angles: 120.00 90.00 90.00
Sites, in units of the cell vectors:
Ga  0.750  0.393  0.196
Tc  0.500  0.000  0.000
Ga  0.250  0.196  0.804
Dy  0.750  0.333  0.667
Ga  0.750  0.804  0.196
Ga  0.750  0.804  0.607
Ga  0.250  0.196  0.393
Dy  0.250  0.667  0.333
Tc  0.000  0.000  0.000
Ga  0.250  0.607  0.804

## Properties
Volume ... 18.87 A^3/atom
Energy relative to the elements ... -8.20 kcal/mol of atoms


Material: DyGa5Tc
Method: DFT, PBE
State: optimized geometry

abc: 4.337 4.337 6.966
angles: 90.00 90.00 90.00
Sites, in units of the cell vectors:
Ga  0.500  0.000  0.304
Ga  0.000  0.500  0.304
Tc  0.000  0.000  0.500
Ga  0.500  0.500  0.000
Ga  0.500  0.000  0.696
Dy  0.000  0.000  0.000
Ga  0.000  0.500  0.696

## Properties
Volume ... 18.72 A^3/atom
Energy relative to the elements ... -8.80 kcal/mol of atoms


Material: DyGa2Tc
Method: DFT, PBE
State: optimized geometry

abc: 4.274 7.078 9.783
angles: 90.00 90.00 90.00
Sites, in units of the cell vectors:
Dy  0.750  0.690  0.322
Ga  0.250  0.901  0.172
Dy  0.750  0.190  0.178
Ga  0.750  0.599  0.672
Ga  0.250  0.401  0.328
Tc  0.250  0.538  0.062
Ga  0.250  0.197  0.969
Ga  0.750  0.803  0.031
Ga  0.750  0.303  0.469
Ga  0.250  0.697  0.531
Dy  0.250  0.310  0.678
Dy  0.250  0.810  0.822
Ga  0.750  0.099  0.828
Tc  0.750  0.962  0.562
Tc  0.750  0.462  0.938
Tc  0.250  0.038  0.438

## Properties
Volume ... 18.50 A^3/atom
Energy relative to the elements ... -10.74 kcal/mol of atoms
Energy relative to the lowest polymorph listed for this composition ... 0 meV per atom


Material: Dy2Ga8Tc
Method: DFT, PBE
State: optimized geometry

abc: 4.273 4.273 11.405
angles: 90.00 90.00 90.00
Sites, in units of the cell vectors:
Ga  0.500  0.000  0.500
Ga  0.000  0.500  0.123
Dy  0.000  0.000  0.310
Ga  0.000  0.500  0.877
Ga  0.500  0.000  0.123
Ga  0.000  0.500  0.500
Dy  0.000  0.000  0.690
Ga  0.500  0.500  0.310
Ga  0.500  0.500  0.690
Tc  0.000  0.000  0.000
Ga  0.500  0.000  0.877

## Properties
Volume ... 18.94 A^3/atom
Energy relative to the elements ... -9.98 kcal/mol of atoms


no.,E_tot (eV for the cell shown),total moment (μB per formula unit)
1,-51.65,0.0
2,-32.77,0.0
3,-91.54,0.0
4,-48.55,0.0